Computed, not measured: a geometry-optimized PtSe2Br structure at the PBE level of DFT.

Output
Total magnetization, μB per atom: 0.00
ΔE_f (raw), eV per atom: 0.43
Space group: No. 47
Calculated volume, Å³ per atom: 28.5
Energy relative to the lowest polymorph listed for this composition, eV/atom: 0.716
Energy, eV per atom: -3.24

Structure (POSCAR):
```
PtSe2Br
1.0
3.6366 0.0000 0.0000
0.0000 3.7305 0.0000
0.0000 0.0000 8.3995
Pt Se Br
1 2 1
direct
0.0000 0.0000 0.0000
0.0000 0.5000 0.5000
0.5000 0.0000 0.5000
0.5000 0.5000 0.0000
```